First-principles (GGA+U) data for a relaxed structure of CsCoO3, as listed in Alexandria via LeMat-Bulk.

Results
crystal system: cubic
DFT total energy: -4.598 eV per atom

Geometry as POSCAR:
```
CsCoO3
1.0
4.071 0.000 0.000
0.000 4.071 0.000
0.000 0.000 4.071
Cs Co O
1 1 3
direct
0.500 0.500 0.500
0.000 0.000 0.000
0.000 0.500 0.000
0.000 0.000 0.500
0.500 0.000 0.000
```